A relaxed structure of Mn3FeH, computed with GGA-PBE.

The space group is Pmma (No. 51) and the conventional cell measures 6.095, 2.581 and 5.871 Å, with angles of 90.00, 90.00 and 90.00 degrees. The inequivalent atoms are Mn at (0.037, 0.000, 0.245), Mn at (0.250, 0.500, 0.943), Fe at (0.250, 0.500, 0.552) and H at (0.250, 0.500, 0.250).

For the density of states at the Fermi level, the calculation gives 4.166 states/eV/f.u. The value obtained for the theoretical density is 7.97 g cm⁻³. The total magnetic moment is 0.85 μB/f.u. The calculation puts the excess energy over the best structure of this formula in the dataset at 0.044 eV/atom.

***

A relaxed structure of Nd2BeSiPd6, computed with GGA-PBE.

The space group is P-1 (No. 2) and the conventional cell measures 5.844, 5.948 and 6.877 Å, with angles of 66.65, 65.29 and 60.86 degrees. The inequivalent atoms are Nd at (0.225, 0.238, 0.317), Be at (0.000, 0.000, 0.000), Si at (0.500, 0.500, 0.500), Pd at (0.241, 0.690, 0.820), Pd at (0.247, 0.231, 0.785) and Pd at (0.275, 0.770, 0.207).

For the density of states at the Fermi level, the calculation gives 3.783 states/eV/f.u. The value obtained for the theoretical density is 8.70 g cm⁻³. The total magnetic moment is 0.00 μB/f.u. The uncorrected formation energy comes out at -67.2 kJ/mol of atoms.

***

A relaxed structure of Tb12Sc6In, computed with GGA-PBE.

The space group is Im-3 (No. 204) and the conventional cell measures 10.354, 10.354 and 10.354 Å, with angles of 90.00, 90.00 and 90.00 degrees. The inequivalent atoms are Tb at (0.000, 0.266, 0.186), Sc at (0.000, 0.140, 0.500) and In at (0.000, 0.000, 0.000).

For the density of states at the Fermi level, the calculation gives 29.033 states/eV/f.u. The value obtained for the theoretical density is 6.86 g cm⁻³. The total magnetic moment is 0.00 μB/f.u. The calculation puts the energy relative to the elements at 0.143 eV per atom.

***

What is the formula in the first record?
Mn3FeH